{"formula": "Rb3IBr", "functional": "meta-GGA SCAN", "state": "PBEsol geometry", "e_form_raw_kj_per_mol_fu": -502, "total_energy_ev_per_atom": -24.72, "lattice": [[6.900, 0.000, 0.000], [0.000, 6.900, 0.000], [0.000, 0.000, 6.900]], "species": ["Rb", "Rb", "Rb", "I", "Br"], "frac_coords": [[0.000, 0.000, 0.500], [0.000, 0.500, 0.000], [0.500, 0.000, 0.000], [0.000, 0.000, 0.000], [0.500, 0.500, 0.500]]}

{"formula": "AgIr3", "functional": "meta-GGA SCAN", "state": "PBEsol geometry", "total_energy_ev_per_atom": -60.46, "lattice": [[6.188, 0.000, 0.000], [0.000, 6.188, 0.000], [0.000, 0.000, 6.188]], "species": ["Ag", "Ag", "Ag", "Ag", "Ir", "Ir", "Ir", "Ir", "Ir", "Ir", "Ir", "Ir", "Ir", "Ir", "Ir", "Ir"], "frac_coords": [[0.000, 0.000, 0.000], [0.000, 0.500, 0.500], [0.500, 0.000, 0.500], [0.500, 0.500, 0.000], [0.000, 0.000, 0.500], [0.000, 0.500, 0.000], [0.250, 0.250, 0.250], [0.250, 0.250, 0.750], [0.250, 0.750, 0.250], [0.250, 0.750, 0.750], [0.500, 0.000, 0.000], [0.500, 0.500, 0.500], [0.750, 0.250, 0.250], [0.750, 0.250, 0.750], [0.750, 0.750, 0.250], [0.750, 0.750, 0.750]]}

{"formula": "LiHg2I2", "functional": "meta-GGA SCAN", "state": "PBEsol geometry", "e_form_raw_kj_per_mol_fu": -146, "e_above_lowest_polymorph_mev_per_atom": 85, "total_energy_ev_per_atom": -42.74, "lattice": [[6.137, 0.000, 0.000], [0.000, 6.137, 0.000], [0.000, 0.000, 8.673]], "species": ["Li", "Li", "Hg", "Hg", "Hg", "Hg", "I", "I", "I", "I"], "frac_coords": [[0.000, 0.000, 0.000], [0.500, 0.500, 0.500], [0.000, 0.000, 0.343], [0.000, 0.000, 0.657], [0.500, 0.500, 0.157], [0.500, 0.500, 0.843], [0.000, 0.500, 0.250], [0.000, 0.500, 0.750], [0.500, 0.000, 0.250], [0.500, 0.000, 0.750]]}

{"formula": "Mg2InCl", "functional": "meta-GGA SCAN", "state": "PBEsol geometry", "e_form_raw_kj_per_mol_fu": -133, "e_above_lowest_polymorph_mev_per_atom": 193, "total_energy_ev_per_atom": -13.17, "lattice": [[3.213, 0.000, 0.000], [0.000, 5.066, 0.000], [0.000, 0.000, 5.702]], "species": ["Mg", "Mg", "In", "Cl"], "frac_coords": [[0.000, 0.000, 0.000], [0.500, 0.000, 0.500], [0.000, 0.500, 0.500], [0.500, 0.500, 0.000]]}